{"formula": "Rb3Ac3CoO8", "functional": "PBE with a Hubbard U", "state": "relaxed", "e_tot_ev_per_atom": -6.044, "lattice_angstrom": [[3.679, 2.124, 6.643], [-3.679, 2.124, 6.643], [0.000, -4.248, 6.643]], "species": ["Rb", "Rb", "Rb", "Ac", "Ac", "Ac", "Co", "O", "O", "O", "O", "O", "O", "O", "O"], "frac_coords": [[0.000, 0.500, 0.500], [0.500, 0.000, 0.500], [0.500, 0.500, 0.000], [0.000, 0.000, 0.500], [0.000, 0.500, 0.000], [0.500, 0.000, 0.000], [0.500, 0.500, 0.500], [0.230, 0.230, 0.230], [0.269, 0.698, 0.698], [0.302, 0.302, 0.731], [0.302, 0.731, 0.302], [0.698, 0.269, 0.698], [0.698, 0.698, 0.269], [0.731, 0.302, 0.302], [0.770, 0.770, 0.770]]}